Crystalline CoReOsSeO at its relaxed geometry. Source: the Alexandria database, functional PBE+U.

Lattice parameters (Å, degrees): 7.321 2.902 6.775 90.00 101.59 90.00
Each line ends with the local moment (μB).
Atoms (fractional coordinates):
Se1 0.668 0.500 0.986  0.00
Co1 0.462 0.000 0.142  1.80
Co2 0.462 0.500 0.642  1.80
O1 0.231 0.500 0.425  -0.03
O2 0.231 0.000 0.925  -0.03
Re1 0.147 0.000 0.607  0.01
Re2 0.147 0.500 0.107  0.01
Se2 0.668 0.000 0.486  0.00
Os1 0.887 0.000 0.222  -0.17
Os2 0.887 0.500 0.722  -0.17

Output
magnetization	3.070	Bohr magnetons per cell
SG	Cm, No. 8
E_tot	-7.193	eV/atom
D(E_F)	7.13	states/eV/cell
crystal system	monoclinic